# 1
A relaxed Ca4CeSe6 crystal. Source: the Alexandria database, functional GGA-PBE.

Formation energy without anion corrections = -1.7697 eV/atom

Cell and atoms, written as CIF:
```
data_Ca4CeSe6
_symmetry_space_group_name_H-M 'R -3 c'
_symmetry_Int_Tables_number 167
_symmetry_space_group_name_Hall '-R 3 2"c'
_cell_length_a 11.9640
_cell_length_b 11.9640
_cell_length_c 14.4542
_cell_angle_alpha 90.00
_cell_angle_beta 90.00
_cell_angle_gamma 120.00
loop_
_atom_site_label
_atom_site_fract_x
_atom_site_fract_y
_atom_site_fract_z
_atom_site_occupancy
Ca1 0.0000 0.0000 0.2500 1
Ca2 0.0000 0.3797 0.2500 1
Ce1 0.0000 0.0000 0.0000 1
Se1 0.0295 0.2031 0.3859 1
```

***

# 2
A relaxed Nd3Sm7Y2 crystal. Source: the Alexandria database, functional GGA-PBE.

Formation enthalpy at 0 K = 0.076 eV per atom
DOS at the Fermi energy = 1.529 states/eV per atom

Cell and atoms, written as CIF:
```
data_Nd3Sm7Y2
_symmetry_space_group_name_H-M 'P 1 2/m 1'
_symmetry_Int_Tables_number 10
_cell_length_a 6.4750
_cell_length_b 3.5799
_cell_length_c 17.8149
_cell_angle_alpha 90.00
_cell_angle_beta 96.13
_cell_angle_gamma 90.00
loop_
_symmetry_equiv_pos_as_xyz
'x,y,z'
'-x,-y,-z'
'-x,y,-z'
'x,-y,z'
loop_
_atom_site_label
_atom_site_fract_x
_atom_site_fract_y
_atom_site_fract_z
_atom_site_occupancy
Nd1 0.0000 0.0000 0.0000 1
Nd2 0.0488 0.5000 0.6607 1
Sm1 0.2287 0.5000 0.1669 1
Sm2 0.2444 0.0000 0.5016 1
Sm3 0.2763 0.0000 0.8321 1
Sm4 0.5000 0.5000 0.0000 1
Y1 0.4439 0.0000 0.3289 1
```

***

Number 1: energy -4.938 eV per atom. Number 2: energy -4.946 eV per atom.